K3BiP | Alexandria via LeMat-Bulk | PBEsol | relaxed; E = -2.2556 eV/atom; Fermi-level density of states = 4.87 states/eV/cell
1.0
6.6445 0.0000 0.0000
0.0000 6.6445 0.0000
0.0000 0.0000 6.6445
P K Bi
1 3 1
Direct
0.5000 0.5000 0.5000
0.0000 0.5000 0.0000
0.0000 0.0000 0.5000
0.5000 0.0000 0.0000
0.0000 0.0000 0.0000


Cs2GaAgI6 | Alexandria via LeMat-Bulk | PBEsol | relaxed; E = -2.7205 eV/atom; Fermi-level density of states = 4.73 states/eV/cell
1.0
8.1022 0.0000 0.0000
4.0511 7.0167 0.0000
4.0511 2.3389 6.6154
Cs Ga Ag I
2 1 1 6
Direct
0.7500 0.7500 0.7500
0.2500 0.2500 0.2500
0.0000 0.0000 0.0000
0.5000 0.5000 0.5000
0.7542 0.2458 0.2458
0.7542 0.7542 0.2458
0.2458 0.7542 0.7542
0.7542 0.2458 0.7542
0.2458 0.7542 0.2458
0.2458 0.2458 0.7542


YSiPt2 | Alexandria via LeMat-Bulk | PBEsol | relaxed; E = -7.5605 eV/atom; Fermi-level density of states = 1.83 states/eV/cell
1.0
-3.0304 -0.7989 1.7865
-2.0899 -0.7050 -3.8601
1.2985 -4.6129 0.1395
Pt Si Y
2 1 1
Direct
0.7500 0.0000 0.9484
0.7500 0.5000 0.2953
0.7500 0.0000 0.4635
0.2500 0.5000 0.7928


- The highest E belongs to which entry?
  K3BiP